Record 1
First-principles (SCAN) data for a PBEsol-optimized structure of Nb3Cl5O2, as listed in the Alexandria database.

It has space group Pnnm (No. 58), with a = 8.096 Å, b = 14.574 Å, c = 6.677 Å, α = 90.00°, β = 90.00° and γ = 90.00°. The distinct sites, in fractional coordinates, are Nb at (0.026, 0.135, 0.000), Nb at (0.241, 0.240, 0.212), Cl at (0.000, 0.000, 0.241), Cl at (0.174, 0.612, 0.500), Cl at (0.206, 0.359, 0.500), Cl at (0.208, 0.373, 0.000), Cl at (0.226, 0.630, 0.000) and O at (0.010, 0.773, 0.223).

The value obtained for the calculated total energy is -17.009 eV per atom. The total moment comes out at 0.0 μB/f.u. The calculated volume comes out at 788 Å³/cell. The calculation puts the theoretical density at 4.114 g cm⁻³.

Record 2
First-principles (SCAN) data for a PBEsol-optimized structure of AlZn2Fe, as listed in the Alexandria database.

It has space group I-4m2 (No. 119), with a = 3.609 Å, b = 3.609 Å, c = 7.783 Å, α = 90.00°, β = 90.00° and γ = 90.00°. The distinct sites, in fractional coordinates, are Al at (0.000, 0.000, 0.000), Zn at (0.000, 0.000, 0.500), Zn at (0.000, 0.500, 0.250) and Fe at (0.000, 0.500, 0.750).

The total moment comes out at 1.3 μB/f.u. The calculated volume comes out at 101 Å³/cell. The calculation puts the theoretical density at 6.998 g cm⁻³. The formation energy is -0.131 eV per atom.